(1)
Compound: LiFe4Ni7
Source: Alexandria
Functional: PBE
Structure: relaxed Values from VASP.

Quantum ESPRESSO input file:
```
&SYSTEM
  ibrav = 0, nat = 12, ntyp = 3
/
ATOMIC_SPECIES
Ni 58.69 Ni.upf
Fe 55.84 Fe.upf
Li 6.94 Li.upf
ATOMIC_POSITIONS crystal
Ni 0.975 0.706 0.413
Ni 0.025 0.294 0.587
Ni 0.500 0.000 0.000
Ni 0.803 0.454 0.908
Fe 0.191 0.140 0.280
Fe 0.809 0.860 0.720
Fe 0.381 0.385 0.769
Fe 0.619 0.615 0.231
Ni 0.382 0.790 0.579
Ni 0.618 0.210 0.421
Li 0.000 0.000 0.000
Ni 0.197 0.546 0.092
CELL_PARAMETERS angstrom
4.112 -1.024 1.233
0.899 3.962 0.281
-0.528 -2.548 7.960
```

Values from the calculation:
Fermi-level density of states, states/eV/cell: 9.97
SG: C2/m
Calculated volume, Å³ per cell: 140

---

(2)
Compound: LiFeNi3
Source: Alexandria
Functional: PBE
Structure: relaxed Values from VASP.

Quantum ESPRESSO input file:
```
&SYSTEM
  ibrav = 0, nat = 5, ntyp = 3
/
ATOMIC_SPECIES
Fe 55.84 Fe.upf
Ni 58.69 Ni.upf
Li 6.94 Li.upf
ATOMIC_POSITIONS crystal
Fe 0.500 0.500 0.500
Ni 0.500 0.000 0.000
Ni 0.000 0.000 0.500
Ni 0.000 0.500 0.000
Li 0.000 0.000 0.000
CELL_PARAMETERS angstrom
3.875 0.000 0.000
0.000 3.875 0.000
0.000 0.000 3.875
```

Values from the calculation:
Excess energy over the best structure of this formula in the dataset, meV per atom: 745
Fermi-level density of states, states/eV/cell: 5.07
SG: Pm-3m
Calculated volume, Å³ per cell: 58

---

(3)
Compound: Li2Fe2Ni7
Source: Alexandria
Functional: PBE
Structure: relaxed Values from VASP.

Quantum ESPRESSO input file:
```
&SYSTEM
  ibrav = 0, nat = 11, ntyp = 3
/
ATOMIC_SPECIES
Li 6.94 Li.upf
Ni 58.69 Ni.upf
Fe 55.84 Fe.upf
ATOMIC_POSITIONS crystal
Li 0.583 0.340 0.583
Ni 0.284 0.969 0.284
Ni 0.505 0.682 0.915
Ni 0.085 0.318 0.495
Ni 0.716 0.031 0.716
Ni 0.000 0.500 0.000
Fe 0.203 0.000 0.797
Li 0.417 0.660 0.417
Ni 0.495 0.318 0.085
Fe 0.797 0.000 0.203
Ni 0.915 0.682 0.505
CELL_PARAMETERS angstrom
-2.302 0.649 -4.065
-4.563 -0.174 3.688
0.997 4.605 0.204
```

Values from the calculation:
Fermi-level density of states, states/eV/cell: 7.98
SG: C2/m
Calculated volume, Å³ per cell: 127

---

(4)
Compound: LiFe2Ni
Source: Alexandria
Functional: PBE
Structure: relaxed Values from VASP.

Quantum ESPRESSO input file:
```
&SYSTEM
  ibrav = 0, nat = 4, ntyp = 3
/
ATOMIC_SPECIES
Fe 55.84 Fe.upf
Li 6.94 Li.upf
Ni 58.69 Ni.upf
ATOMIC_POSITIONS crystal
Fe 0.250 0.250 0.250
Li 0.500 0.500 0.500
Ni 0.750 0.750 0.750
Fe 0.000 0.000 0.000
CELL_PARAMETERS angstrom
-2.981 -1.973 1.820
-1.911 -2.960 -1.918
0.525 -3.806 1.155
```

Values from the calculation:
Fermi-level density of states, states/eV/cell: 5.33
SG: F-43m
Calculated volume, Å³ per cell: 46

---

(5)
Compound: LiFeNi4
Source: Alexandria
Functional: PBE
Structure: relaxed Values from VASP.

Quantum ESPRESSO input file:
```
&SYSTEM
  ibrav = 0, nat = 6, ntyp = 3
/
ATOMIC_SPECIES
Ni 58.69 Ni.upf
Fe 55.84 Fe.upf
Li 6.94 Li.upf
ATOMIC_POSITIONS crystal
Ni 0.625 0.125 0.625
Fe 0.250 0.250 0.250
Ni 0.625 0.625 0.125
Ni 0.625 0.625 0.625
Ni 0.125 0.625 0.625
Li 0.000 0.000 0.000
CELL_PARAMETERS angstrom
0.000 3.305 3.305
3.305 0.000 3.305
3.305 3.305 0.000
```

Values from the calculation:
Excess energy over the best structure of this formula in the dataset, meV per atom: 51
Fermi-level density of states, states/eV/cell: 5.38
SG: F-43m
Calculated volume, Å³ per cell: 72

---

(6)
Compound: LiFe3Ni4
Source: Alexandria
Functional: PBE
Structure: relaxed Values from VASP.

Quantum ESPRESSO input file:
```
&SYSTEM
  ibrav = 0, nat = 8, ntyp = 3
/
ATOMIC_SPECIES
Li 6.94 Li.upf
Ni 58.69 Ni.upf
Fe 55.84 Fe.upf
ATOMIC_POSITIONS crystal
Li 0.500 0.000 0.000
Ni 0.377 0.377 0.754
Ni 0.123 0.123 0.246
Fe 0.748 0.248 0.496
Fe 0.000 0.500 0.000
Fe 0.252 0.752 0.504
Ni 0.623 0.623 0.246
Ni 0.877 0.877 0.754
CELL_PARAMETERS angstrom
0.486 -3.417 -1.111
3.010 -0.225 2.009
-5.450 -0.427 4.849
```

Values from the calculation:
Fermi-level density of states, states/eV/cell: 4.79
SG: I4/mmm
Calculated volume, Å³ per cell: 90

---

(7)
Compound: LiFe2Ni2
Source: Alexandria
Functional: PBE
Structure: relaxed Values from VASP.

Quantum ESPRESSO input file:
```
&SYSTEM
  ibrav = 0, nat = 10, ntyp = 3
/
ATOMIC_SPECIES
Ni 58.69 Ni.upf
Li 6.94 Li.upf
Fe 55.84 Fe.upf
ATOMIC_POSITIONS crystal
Ni 0.869 0.631 0.000
Ni 0.131 0.369 0.000
Li 0.500 0.500 0.000
Ni 0.369 0.869 0.000
Fe 0.163 0.663 0.500
Fe 0.337 0.163 0.500
Fe 0.837 0.337 0.500
Fe 0.663 0.837 0.500
Ni 0.631 0.131 0.000
Li 0.000 0.000 0.000
CELL_PARAMETERS angstrom
-6.304 3.181 -0.363
-3.198 -6.295 0.358
-0.057 0.171 2.497
```

Values from the calculation:
Excess energy over the best structure of this formula in the dataset, meV per atom: 0
Fermi-level density of states, states/eV/cell: 6.09
SG: P4/mbm
Calculated volume, Å³ per cell: 125

---

(8)
Compound: LiFe4Ni
Source: Alexandria
Functional: PBE
Structure: relaxed Values from VASP.

Quantum ESPRESSO input file:
```
&SYSTEM
  ibrav = 0, nat = 6, ntyp = 3
/
ATOMIC_SPECIES
Fe 55.84 Fe.upf
Li 6.94 Li.upf
Ni 58.69 Ni.upf
ATOMIC_POSITIONS crystal
Fe 0.375 0.875 0.375
Fe 0.375 0.375 0.875
Fe 0.375 0.375 0.375
Fe 0.875 0.375 0.375
Li 0.750 0.750 0.750
Ni 0.000 0.000 0.000
CELL_PARAMETERS angstrom
0.000 3.313 3.313
3.313 0.000 3.313
3.313 3.313 0.000
```

Values from the calculation:
Fermi-level density of states, states/eV/cell: 4.65
SG: F-43m
Calculated volume, Å³ per cell: 73

---

| no. | formation energy (eV per atom) |
| --- | --- |
| 1 | 0.0838 |
| 2 | 0.7374 |
| 3 | 0.1929 |
| 4 | 0.1592 |
| 5 | 0.0590 |
| 6 | -0.0193 |
| 7 | 0.0493 |
| 8 | 0.2208 |